(1)
Computed, not measured: a geometry-optimized ScInSeCl2 structure at the GGA-PBE level of DFT.

a = 5.060 Å, b = 5.060 Å, c = 5.272 Å
α = 90.00°, β = 90.00°, γ = 90.00°
Sites, in units of the cell vectors:
Sc (0.000, 0.000, 0.000)
In (0.500, 0.500, 0.500)
Se (0.000, 0.000, 0.500)
Cl (0.000, 0.500, 0.000)
Cl (0.500, 0.000, 0.000)

Values from the calculation:
The calculation puts the formation energy without anion corrections at -132.1 kJ/mol of atoms. Its volume is 135.0 Å³/f.u. The value obtained for the total energy is -4.6187 eV per atom. The space group is P4/mmm, No. 123.



(2)
Computed, not measured: a geometry-optimized SrScInCl6 structure at the GGA-PBE level of DFT.

a = 7.188 Å, b = 7.188 Å, c = 13.243 Å
α = 90.00°, β = 90.00°, γ = 120.00°
Sites, in units of the cell vectors:
Sr (0.333, 0.667, 0.250)
Sr (0.667, 0.333, 0.750)
Sc (0.333, 0.667, 0.750)
Sc (0.667, 0.333, 0.250)
In (0.000, 0.000, 0.000)
In (0.000, 0.000, 0.500)
Cl (0.041, 0.388, 0.640)
Cl (0.041, 0.653, 0.860)
Cl (0.347, 0.388, 0.860)
Cl (0.347, 0.959, 0.640)
Cl (0.388, 0.041, 0.140)
Cl (0.388, 0.347, 0.360)
Cl (0.612, 0.653, 0.640)
Cl (0.612, 0.959, 0.860)
Cl (0.653, 0.041, 0.360)
Cl (0.653, 0.612, 0.140)
Cl (0.959, 0.347, 0.140)
Cl (0.959, 0.612, 0.360)

Values from the calculation:
The calculation puts the formation energy without anion corrections at -188.6 kJ/mol of atoms. Its volume is 296.2 Å³/f.u. The value obtained for the total energy is -4.3803 eV per atom. The space group is P-31c, No. 163.



(3)
Computed, not measured: a geometry-optimized ScInTeCl2 structure at the GGA-PBE level of DFT.

a = 5.035 Å, b = 5.035 Å, c = 5.778 Å
α = 90.00°, β = 90.00°, γ = 90.00°
Sites, in units of the cell vectors:
Sc (0.000, 0.000, 0.000)
In (0.500, 0.500, 0.500)
Te (0.000, 0.000, 0.500)
Cl (0.000, 0.500, 0.000)
Cl (0.500, 0.000, 0.000)

Values from the calculation:
The calculation puts the formation energy without anion corrections at -121.5 kJ/mol of atoms. Its volume is 146.5 Å³/f.u. The value obtained for the total energy is -4.4400 eV per atom. The space group is P4/mmm, No. 123.



(4)
Computed, not measured: a geometry-optimized ScTl2InCl6 structure at the GGA-PBE level of DFT.

a = 7.786 Å, b = 7.786 Å, c = 7.786 Å
α = 59.28°, β = 59.28°, γ = 59.28°
Sites, in units of the cell vectors:
Sc (0.000, 0.000, 0.000)
Tl (0.295, 0.295, 0.295)
Tl (0.785, 0.785, 0.785)
In (0.509, 0.509, 0.509)
Cl (0.127, 0.310, 0.775)
Cl (0.199, 0.877, 0.681)
Cl (0.310, 0.775, 0.127)
Cl (0.681, 0.199, 0.877)
Cl (0.775, 0.127, 0.310)
Cl (0.877, 0.681, 0.199)

Values from the calculation:
The calculation puts the formation energy without anion corrections at -138.4 kJ/mol of atoms. Its volume is 328.3 Å³/f.u. The value obtained for the total energy is -3.9223 eV per atom. The space group is R3, No. 146.



(5)
Computed, not measured: a geometry-optimized ScTlInCl6 structure at the GGA-PBE level of DFT.

a = 6.973 Å, b = 6.973 Å, c = 6.862 Å
α = 90.00°, β = 90.00°, γ = 120.00°
Sites, in units of the cell vectors:
Sc (0.000, 0.000, 0.000)
Tl (0.333, 0.667, 0.500)
In (0.667, 0.333, 0.000)
Cl (0.307, 0.028, 0.214)
Cl (0.307, 0.279, 0.786)
Cl (0.721, 0.028, 0.786)
Cl (0.721, 0.693, 0.214)
Cl (0.972, 0.279, 0.214)
Cl (0.972, 0.693, 0.786)

Values from the calculation:
The calculation puts the formation energy without anion corrections at -140.6 kJ/mol of atoms. Its volume is 289.0 Å³/f.u. The value obtained for the total energy is -3.9594 eV per atom. The space group is P312, No. 149.



(6)
Computed, not measured: a geometry-optimized ScInWCl2 structure at the GGA-PBE level of DFT.

a = 4.830 Å, b = 4.830 Å, c = 5.877 Å
α = 90.00°, β = 90.00°, γ = 90.00°
Sites, in units of the cell vectors:
Sc (0.000, 0.000, 0.000)
In (0.500, 0.500, 0.500)
W (0.000, 0.000, 0.500)
Cl (0.000, 0.500, 0.000)
Cl (0.500, 0.000, 0.000)

Values from the calculation:
The calculation puts the formation energy without anion corrections at 22.5 kJ/mol of atoms. Its volume is 137.1 Å³/f.u. The value obtained for the total energy is -4.9097 eV per atom. The space group is P4/mmm, No. 123.



(7)
Computed, not measured: a geometry-optimized InSe2Cl structure at the GGA-PBE level of DFT.

a = 3.881 Å, b = 3.998 Å, c = 6.740 Å
α = 90.00°, β = 90.00°, γ = 90.00°
Sites, in units of the cell vectors:
In (0.000, 0.000, 0.000)
Se (0.000, 0.500, 0.500)
Se (0.500, 0.000, 0.500)
Cl (0.500, 0.500, 0.000)

Values from the calculation:
The calculation puts the formation energy without anion corrections at -18.3 kJ/mol of atoms. Its volume is 104.6 Å³/f.u. The value obtained for the total energy is -3.0784 eV per atom. The space group is Pmmm, No. 47. For the excess energy over the best structure of this formula in the dataset, the calculation gives 0.3269 eV per atom.



(8)
Computed, not measured: a geometry-optimized In3SeCl7 structure at the GGA-PBE level of DFT.

a = 7.646 Å, b = 7.646 Å, c = 6.579 Å
α = 90.00°, β = 90.00°, γ = 120.00°
Sites, in units of the cell vectors:
In (0.015, 0.508, 0.000)
In (0.492, 0.508, 0.000)
In (0.492, 0.985, 0.000)
Se (0.333, 0.667, 0.755)
Cl (0.175, 0.350, 0.232)
Cl (0.175, 0.825, 0.232)
Cl (0.349, 0.174, 0.803)
Cl (0.650, 0.825, 0.232)
Cl (0.667, 0.333, 0.227)
Cl (0.826, 0.174, 0.803)
Cl (0.826, 0.651, 0.803)

Values from the calculation:
The calculation puts the formation energy without anion corrections at -96.4 kJ/mol of atoms. Its volume is 333.1 Å³/f.u. The value obtained for the total energy is -3.2383 eV per atom. The space group is P3m1, No. 156.